No. 1
VASP calculation (PBE-GGA) on a relaxed AcNdCu3 crystal.

Properties
Crystal system: orthorhombic
E in eV per atom: -4.421
Size of the total moment in μB per formula unit: 0.000

a = 13.164 Å, b = 13.164 Å, c = 4.439 Å
α = 90.00°, β = 90.00°, γ = 162.42°
Sites, in units of the cell vectors:
Ac1 0.073 0.927 0.750
Ac2 0.927 0.073 0.250
Nd1 0.205 0.795 0.250
Nd2 0.795 0.205 0.750
Cu1 0.327 0.673 0.250
Cu2 0.378 0.622 0.750
Cu3 0.476 0.524 0.750
Cu4 0.524 0.476 0.250
Cu5 0.622 0.378 0.250
Cu6 0.673 0.327 0.750



No. 2
VASP calculation (PBE-GGA) on a relaxed AcNdCu2O5 crystal.

Properties
Crystal system: tetragonal
Formation energy without anion corrections in eV/f.u.: -18.670
Size of the total moment in μB per formula unit: 0.000

a = 3.942 Å, b = 3.942 Å, c = 7.353 Å
α = 90.00°, β = 90.00°, γ = 90.00°
Sites, in units of the cell vectors:
Ac1 0.000 0.000 0.000
Nd1 0.000 0.000 0.500
Cu1 0.500 0.500 0.283
Cu2 0.500 0.500 0.717
O1 0.000 0.500 0.290
O2 0.000 0.500 0.710
O3 0.500 0.000 0.290
O4 0.500 0.000 0.710
O5 0.500 0.500 0.000



Copy entry 1 word for word.
VASP calculation (PBE-GGA) on a relaxed AcNdCu3 crystal.

Properties
Crystal system: orthorhombic
E in eV per atom: -4.421
Size of the total moment in μB per formula unit: 0.000

a = 13.164 Å, b = 13.164 Å, c = 4.439 Å
α = 90.00°, β = 90.00°, γ = 162.42°
Sites, in units of the cell vectors:
Ac1 0.073 0.927 0.750
Ac2 0.927 0.073 0.250
Nd1 0.205 0.795 0.250
Nd2 0.795 0.205 0.750
Cu1 0.327 0.673 0.250
Cu2 0.378 0.622 0.750
Cu3 0.476 0.524 0.750
Cu4 0.524 0.476 0.250
Cu5 0.622 0.378 0.250
Cu6 0.673 0.327 0.750



> Look up the size of the total moment of the second one.

0.000 μB per formula unit